1.
A plane-wave DFT calculation with PBE was carried out for Pm2Sm2Mg after structural relaxation.

Output
Spin magnetization, μB per cell: 0.000
Uncorrected energy, eV per cell: -20.7
Space group: I4/mmm

Structure (POSCAR):
```
Pm2Sm2Mg
1.0
-3.543 0.877 0.384
-0.435 -0.165 -3.641
-0.778 -11.910 2.484
Sm Pm Mg
2 2 1
Cartesian
-2.491 -1.738 -1.474
-2.266 -9.460 0.700
-3.675 -6.682 -1.108
-1.082 -4.516 0.334
0.000 0.000 0.000
```

2.
A plane-wave DFT calculation with PBE was carried out for Rb2LaHgBr6 after structural relaxation.

Output
Formation energy (no corrections), eV per atom: -1.4703
Spin magnetization, μB per cell: 0.000
Space group: I4/mmm

Structure (POSCAR):
```
Rb2LaHgBr6
1.0
-1.714 -3.699 7.400
5.369 -6.247 -1.880
6.265 -1.926 5.311
Rb Br La Hg
2 6 1 1
Cartesian
3.189 -5.299 7.735
6.731 -6.573 3.096
0.934 -2.543 1.411
5.918 -8.393 6.821
2.721 -7.403 4.109
0.097 -4.351 5.027
4.002 -3.480 4.010
3.558 -5.595 0.493
1.828 -4.973 2.760
0.000 0.000 0.000
```

3.
A plane-wave DFT calculation with PBE was carried out for Sm10DyHo4 after structural relaxation.

Output
Spin magnetization, μB per cell: 0.000
Uncorrected energy, eV per cell: -59.5
Space group: I4/m

Structure (POSCAR):
```
Sm10DyHo4
1.0
-6.455 4.122 1.094
-4.643 2.112 -8.002
-7.789 -5.272 1.258
Sm Ho Dy
10 4 1
Cartesian
-11.057 1.511 -2.552
-9.368 -3.487 -1.105
-12.535 0.066 -5.822
-15.762 2.127 -5.275
-6.292 2.388 -5.092
-7.830 -0.549 -3.099
-12.595 -1.426 -0.558
-3.125 -1.164 -0.375
-6.353 0.896 0.172
-9.519 4.449 -4.545
-9.474 -0.268 -0.184
-4.703 0.619 -2.731
-14.184 0.343 -2.920
-9.413 1.230 -5.466
0.000 0.000 0.000
```

4.
A plane-wave DFT calculation with PBE was carried out for Ce3Tl3AuSe8 after structural relaxation.

Output
Formation energy (no corrections), eV per atom: -1.0410
Spin magnetization, μB per cell: 0.800
Space group: C2/m

Structure (POSCAR):
```
Ce3Tl3AuSe8
1.0
8.679 0.000 0.000
-4.339 7.060 0.047
0.000 -4.592 7.675
Ce Se Tl Au
3 8 3 1
Cartesian
4.339 -2.296 3.838
-2.170 1.234 3.861
2.170 1.234 3.861
6.260 -0.999 2.157
4.339 0.098 5.477
-1.921 3.467 5.565
1.921 3.467 5.565
0.000 -0.185 5.271
0.000 2.370 2.245
4.339 2.653 2.452
2.419 -0.999 2.157
2.170 3.530 0.024
0.000 0.000 0.000
-2.170 3.530 0.024
0.000 -2.296 3.838
```

5.
A plane-wave DFT calculation with PBE was carried out for NdTcPO after structural relaxation.

Output
Formation energy (no corrections), eV per atom: -1.8677
Spin magnetization, μB per cell: 0.000
Space group: P4/nmm

Structure (POSCAR):
```
NdTcPO
1.0
-0.251 3.382 2.223
1.636 -1.952 3.155
7.674 2.265 -2.579
P Nd O Tc
2 2 2 2
Cartesian
4.834 3.155 -0.555
3.533 -0.175 0.665
7.419 0.972 -0.641
0.948 2.008 0.750
0.693 0.715 2.689
0.000 0.000 0.000
4.530 1.847 1.399
3.837 1.132 -1.289
```

6.
A plane-wave DFT calculation with PBE was carried out for TaIr2Br after structural relaxation.

Output
Formation energy (no corrections), eV per atom: 0.1449
Spin magnetization, μB per cell: 0.000
Space group: Cm

Structure (POSCAR):
```
TaIr2Br
1.0
-1.130 3.722 3.175
-3.027 1.332 3.778
3.780 -1.615 5.498
Ir Br Ta
2 1 1
Cartesian
-0.404 2.849 10.026
2.807 -0.913 5.218
0.673 -0.001 2.116
0.139 1.608 6.814
```

7.
A plane-wave DFT calculation with PBE was carried out for MnNiAs2N after structural relaxation.

Output
Formation energy (no corrections), eV per atom: 1.7663
Spin magnetization, μB per cell: 0.592
Space group: P4/mmm

Structure (POSCAR):
```
MnNiAs2N
1.0
-2.626 -3.366 -0.809
3.281 -2.899 1.413
-1.544 0.230 4.055
As Mn N Ni
2 1 1 1
Cartesian
-1.313 -1.683 -0.404
-0.772 0.115 2.027
1.640 -1.449 0.707
-0.444 -3.018 2.330
0.000 0.000 0.000
```

8.
A plane-wave DFT calculation with PBE was carried out for Y4TlCo after structural relaxation.

Output
Spin magnetization, μB per cell: 2.023
Uncorrected energy, eV per cell: -31.4
Space group: F-43m

Structure (POSCAR):
```
Y4TlCo
1.0
5.753 -0.148 2.327
1.030 1.805 5.849
1.491 -4.195 4.325
Y Tl Co
4 1 1
Cartesian
3.849 -3.046 6.849
3.619 -0.052 7.610
3.105 -0.952 4.691
5.976 -1.026 5.852
0.000 0.000 0.000
6.205 -1.904 9.376
```

- Which value of spin magnetization does entry 2 give?
  0.000 μB per cell